! Er5Tm2 GGA-PBE relaxed; values from VASP
! electronic total energy: -63.5 eV/cell
! calculated volume: 424.95 Å³/cell
! magnetization: 0.10 μB per formula unit
! E_form: -0.04 kJ/mol of atoms
&SYSTEM
  ibrav = 0, nat = 14, ntyp = 2
/
ATOMIC_SPECIES
Er 167.26 Er.upf
Tm 168.93 Tm.upf
CELL_PARAMETERS angstrom
7.684 -3.084 0.000
7.684 3.084 0.000
-0.985 0.000 8.965
ATOMIC_POSITIONS crystal
Er 0.024 0.691 0.036
Er 0.119 0.452 0.679
Er 0.167 0.833 0.750
Er 0.309 0.976 0.464
Er 0.452 0.119 0.179
Er 0.548 0.881 0.821
Er 0.691 0.024 0.536
Er 0.833 0.167 0.250
Er 0.881 0.548 0.321
Er 0.976 0.309 0.964
Tm 0.262 0.595 0.393
Tm 0.405 0.738 0.107
Tm 0.595 0.262 0.893
Tm 0.738 0.405 0.607

! NbIBrCl3 GGA-PBE relaxed; values from VASP
! electronic total energy: -49.5 eV/cell
! calculated volume: 421.44 Å³/cell
! magnetization: 0.01 μB per formula unit
! relative energy among the computed polymorphs: 0 meV/atom
&SYSTEM
  ibrav = 0, nat = 12, ntyp = 4
/
ATOMIC_SPECIES
Nb 92.91 Nb.upf
I 126.90 I.upf
Br 79.90 Br.upf
Cl 35.45 Cl.upf
CELL_PARAMETERS angstrom
6.708 0.000 0.000
-2.848 6.627 0.000
-0.608 -3.719 9.480
ATOMIC_POSITIONS crystal
Nb 0.115 0.231 0.229
Nb 0.885 0.769 0.771
I 0.250 0.192 0.956
I 0.750 0.808 0.044
Br 0.068 0.815 0.575
Br 0.932 0.185 0.425
Cl 0.104 0.619 0.841
Cl 0.302 0.026 0.253
Cl 0.426 0.556 0.323
Cl 0.574 0.444 0.677
Cl 0.698 0.974 0.747
Cl 0.896 0.381 0.159

! AgAuF7 GGA-PBE relaxed; values from VASP
! electronic total energy: -109.6 eV/cell
! calculated volume: 490.51 Å³/cell
&SYSTEM
  ibrav = 0, nat = 36, ntyp = 3
/
ATOMIC_SPECIES
Ag 107.87 Ag.upf
Au 196.97 Au.upf
F 19.00 F.upf
CELL_PARAMETERS angstrom
7.286 0.000 0.000
0.000 6.873 0.000
0.000 0.000 9.795
ATOMIC_POSITIONS crystal
Ag 0.134 0.250 0.243
Ag 0.366 0.750 0.743
Ag 0.634 0.250 0.257
Ag 0.866 0.750 0.757
Au 0.193 0.750 0.062
Au 0.307 0.250 0.562
Au 0.693 0.750 0.438
Au 0.807 0.250 0.938
F 0.057 0.250 0.012
F 0.061 0.250 0.632
F 0.111 0.750 0.661
F 0.113 0.559 0.196
F 0.113 0.941 0.196
F 0.232 0.053 0.429
F 0.232 0.447 0.429
F 0.268 0.553 0.929
F 0.268 0.947 0.929
F 0.387 0.059 0.696
F 0.387 0.441 0.696
F 0.389 0.250 0.161
F 0.439 0.750 0.132
F 0.443 0.750 0.512
F 0.557 0.250 0.488
F 0.561 0.250 0.868
F 0.611 0.750 0.839
F 0.613 0.559 0.304
F 0.613 0.941 0.304
F 0.732 0.053 0.071
F 0.732 0.447 0.071
F 0.768 0.553 0.571
F 0.768 0.947 0.571
F 0.887 0.059 0.804
F 0.887 0.441 0.804
F 0.889 0.250 0.339
F 0.939 0.750 0.368
F 0.943 0.750 0.988

! LiGdAsO GGA-PBE relaxed; values from VASP
! electronic total energy: -46.1 eV/cell
! calculated volume: 158.59 Å³/cell
! magnetization: 0.00 μB per formula unit
! relative energy among the computed polymorphs: 133 meV/atom
&SYSTEM
  ibrav = 0, nat = 8, ntyp = 4
/
ATOMIC_SPECIES
Li 6.94 Li.upf
Gd 157.25 Gd.upf
As 74.92 As.upf
O 16.00 O.upf
CELL_PARAMETERS angstrom
3.536 0.000 0.000
0.000 7.621 0.000
0.000 0.000 5.885
ATOMIC_POSITIONS crystal
Li 0.000 0.068 0.000
Li 0.000 0.932 0.500
Gd 0.500 0.298 0.355
Gd 0.500 0.702 0.855
As 0.500 0.318 0.851
As 0.500 0.682 0.351
O 0.000 0.141 0.322
O 0.000 0.859 0.822